Record 1
Material: Cs2LiCd
Method: DFT, PBE-GGA
State: relaxed

Structure (CIF):
```
data_Cs2LiCd
_chemical_formula_sum 'Cs8 Li4 Cd4'
_space_group_name_H-M_alt 'I -4 2 d'
_space_group_IT_number 122
_space_group_name_Hall 'I -4 2bw'
_cell_length_a 10.766
_cell_length_b 10.766
_cell_length_c 8.031
_cell_angle_alpha 90.00
_cell_angle_beta 90.00
_cell_angle_gamma 90.00
loop_
_atom_site_label
_atom_site_type_symbol
_atom_site_fract_x
_atom_site_fract_y
_atom_site_fract_z
Cs1 Cs 0.236 0.750 0.125
Li1 Li 0.000 0.000 0.500
Cd1 Cd 0.000 0.000 0.000
```

Calculated values
* excess energy over the best structure of this formula in the dataset: 0.083 eV/atom
* M_tot: 0.00 μB/cell
* calculated volume: 58.17 A^3/atom
* DOS at the Fermi energy: 12.78 states/eV per cell
* calculated total energy: -0.93 eV per atom

***

Record 2
Material: CsLi3Cd
Method: DFT, PBE-GGA
State: relaxed

Structure (CIF):
```
data_CsLi3Cd
_chemical_formula_sum 'Cs1 Li3 Cd1'
_space_group_name_H-M_alt 'P m -3 m'
_space_group_IT_number 221
_space_group_name_Hall '-P 4 2 3'
_cell_length_a 5.613
_cell_length_b 5.613
_cell_length_c 5.613
_cell_angle_alpha 90.00
_cell_angle_beta 90.00
_cell_angle_gamma 90.00
loop_
_atom_site_label
_atom_site_type_symbol
_atom_site_fract_x
_atom_site_fract_y
_atom_site_fract_z
Cs1 Cs 0.000 0.000 0.000
Li1 Li 0.000 0.500 0.500
Cd1 Cd 0.500 0.500 0.500
```

Calculated values
* excess energy over the best structure of this formula in the dataset: 0.000 eV/atom
* M_tot: 0.00 μB/cell
* calculated volume: 35.37 A^3/atom
* DOS at the Fermi energy: 4.02 states/eV per cell
* calculated total energy: -1.41 eV per atom

***

Record 3
Material: Cs3LiCd
Method: DFT, PBE-GGA
State: relaxed

Structure (CIF):
```
data_Cs3LiCd
_chemical_formula_sum 'Cs3 Li1 Cd1'
_space_group_name_H-M_alt 'P m -3 m'
_space_group_IT_number 221
_space_group_name_Hall '-P 4 2 3'
_cell_length_a 7.471
_cell_length_b 7.471
_cell_length_c 7.471
_cell_angle_alpha 90.00
_cell_angle_beta 90.00
_cell_angle_gamma 90.00
loop_
_atom_site_label
_atom_site_type_symbol
_atom_site_fract_x
_atom_site_fract_y
_atom_site_fract_z
Cs1 Cs 0.000 0.000 0.500
Li1 Li 0.500 0.500 0.500
Cd1 Cd 0.000 0.000 0.000
```

Calculated values
* excess energy over the best structure of this formula in the dataset: 0.000 eV/atom
* M_tot: 0.00 μB/cell
* calculated volume: 83.39 A^3/atom
* DOS at the Fermi energy: 8.68 states/eV per cell
* calculated total energy: -0.89 eV per atom